[1]
DFT (PBE-GGA) results for crystalline NdSmAgAu at its relaxed geometry.

Output
For the excess energy over the best structure of this formula in the dataset, the calculation gives 0 meV per atom. The calculation puts the formation energy from the elements at -0.5322 eV per atom. As for the calculated volume: 102 Å³/f.u. The calculation puts the density of states at the Fermi level at 2.5 states/eV/f.u.

abc: 3.7034 3.7034 7.4585
angles: 90.00 90.00 90.00
With the nearest neighbours (Å) after each atom.
Sites, in units of the cell vectors:
Ag1 0.0000 0.0000 0.8653  4 Sm 3.20, 4 Nd 3.27
Sm1 0.5000 0.5000 0.1130  4 Au 3.15, 4 Ag 3.20
Nd1 0.5000 0.5000 0.6020  4 Au 3.23, 4 Ag 3.27
Au1 0.0000 0.0000 0.3477  4 Sm 3.15, 4 Nd 3.23



[2]
DFT (PBE-GGA) results for crystalline Nd2CoNi3P4 at its relaxed geometry.

Output
The calculation puts the formation energy from the elements at -0.9631 eV per atom. As for the calculated volume: 150 Å³/f.u. The calculation puts the density of states at the Fermi level at 5.6 states/eV/f.u.

abc: 4.0299 4.0299 9.2548
angles: 90.00 90.00 90.00
With the nearest neighbours (Å) after each atom.
Sites, in units of the cell vectors:
P1 0.0000 0.5000 0.3708  2 Co 2.34, 3 Ni 2.34-2.37
P2 0.5000 0.0000 0.6292  2 Co 2.34, 3 Ni 2.34-2.37
P3 0.5000 0.5000 0.0000  4 Ni 2.28
P4 0.0000 0.0000 0.0000  4 Ni 2.28
Nd1 0.5000 0.0000 0.2471  8 P 3.05-3.07, 2 Co 3.09, 7 Ni 3.09-3.35
Nd2 0.0000 0.5000 0.7529  8 P 3.05-3.07, 2 Co 3.09, 7 Ni 3.09-3.35
Ni1 0.0000 0.5000 0.1152  5 P 2.28-2.37
Ni2 0.5000 0.0000 0.8848  5 P 2.28-2.37
Ni3 0.0000 0.0000 0.5000  4 P 2.34
Co1 0.5000 0.5000 0.5000  4 P 2.34



[3]
DFT (PBE-GGA) results for crystalline MgBeW2 at its relaxed geometry.

Output
For the excess energy over the best structure of this formula in the dataset, the calculation gives 35 meV per atom. The calculation puts the formation energy from the elements at 0.3278 eV per atom. As for the calculated volume: 59 Å³/f.u. The calculation puts the density of states at the Fermi level at 1.5 states/eV/f.u.

abc: 2.7161 2.7161 8.0088
angles: 90.00 90.00 90.00
With the nearest neighbours (Å) after each atom.
Sites, in units of the cell vectors:
W1 0.0000 0.0000 0.0422  4 Be 2.54, 4 W 2.72
W2 0.0000 0.0000 0.4578  4 Be 2.54, 4 W 2.72
Mg1 0.5000 0.5000 0.7500  4 Mg 2.72, 8 W 3.03
Be1 0.5000 0.5000 0.2500  8 W 2.54, 4 Be 2.72



[4]
DFT (PBE-GGA) results for crystalline MgUSb2 at its relaxed geometry.

Output
For the excess energy over the best structure of this formula in the dataset, the calculation gives 0 meV per atom. As for the calculated volume: 98 Å³/f.u. The energy relative to the elements, uncorrected is -107.1 kJ/mol of formula units. The calculation puts the density of states at the Fermi level at 5.8 states/eV/f.u.

abc: 3.9614 4.9646 4.9646
angles: 90.00 90.00 90.00
With the nearest neighbours (Å) after each atom.
Sites, in units of the cell vectors:
Sb1 0.0000 0.5000 0.0000  4 Mg 3.18, 4 U 3.18, 4 Sb 3.51
Sb2 0.0000 0.0000 0.5000  4 Mg 3.18, 4 U 3.18, 4 Sb 3.51
Mg1 0.5000 0.5000 0.5000  8 Sb 3.18, 4 U 3.51
U1 0.5000 0.0000 0.0000  8 Sb 3.18, 4 Mg 3.51



[5]
DFT (PBE-GGA) results for crystalline SrScSe at its relaxed geometry.

Output
For the excess energy over the best structure of this formula in the dataset, the calculation gives 0 meV per atom. As for the calculated volume: 91 Å³/f.u. The energy relative to the elements, uncorrected is -281.2 kJ/mol of formula units. The calculation puts the density of states at the Fermi level at 3.1 states/eV/f.u.

abc: 3.9607 3.9607 6.6694
angles: 90.00 90.00 120.00
With the nearest neighbours (Å) after each atom.
Sites, in units of the cell vectors:
Sc1 0.0000 0.0000 0.0819  3 Se 2.72
Sr1 0.3333 0.6667 0.6165  3 Se 3.10
Se1 0.6667 0.3333 0.3016  3 Sc 2.72



[6]
DFT (PBE-GGA) results for crystalline DyBe2ZnAu4 at its relaxed geometry.

Output
The calculation puts the formation energy from the elements at -0.2969 eV per atom. As for the calculated volume: 138 Å³/f.u. The calculation puts the density of states at the Fermi level at 3.0 states/eV/f.u.

abc: 4.2118 4.2118 9.2782
angles: 76.88 76.88 60.00
With the nearest neighbours (Å) after each atom.
Sites, in units of the cell vectors:
Au1 0.8746 0.8746 0.3761  3 Be 2.61, 3 Zn 2.67, 3 Au 2.92
Au2 0.1254 0.1254 0.6239  3 Be 2.61, 3 Zn 2.67, 3 Au 2.92
Au3 0.6012 0.6012 0.1965  3 Be 2.52, 1 Zn 2.72
Au4 0.3988 0.3988 0.8035  3 Be 2.52, 1 Zn 2.72
Be1 0.7568 0.7568 0.7297  6 Au 2.52-2.61
Be2 0.2432 0.2432 0.2703  6 Au 2.52-2.61
Dy1 0.0000 0.0000 0.0000  6 Au 3.00
Zn1 0.5000 0.5000 0.5000  8 Au 2.67-2.72



[7]
DFT (PBE-GGA) results for crystalline Sc5Ge2Sb at its relaxed geometry.

Output
For the excess energy over the best structure of this formula in the dataset, the calculation gives 0 meV per atom. As for the calculated volume: 171 Å³/f.u. The energy relative to the elements, uncorrected is -615.7 kJ/mol of formula units. The calculation puts the density of states at the Fermi level at 8.5 states/eV/f.u.

abc: 7.3370 7.3370 8.1906
angles: 116.61 116.61 90.00
With the nearest neighbours (Å) after each atom.
Sites, in units of the cell vectors:
Sc1 0.7990 0.9874 0.2865  3 Ge 2.75-2.86
Sc2 0.5000 0.5000 0.0000  4 Ge 2.81
Sc3 0.2990 0.7990 0.2865  3 Ge 2.75-2.86
Sc4 0.2010 0.0126 0.7135  3 Ge 2.75-2.86
Sc5 0.5126 0.7010 0.7135  3 Ge 2.75-2.86
Sc6 0.9874 0.4874 0.2865  3 Ge 2.75-2.86
Sc7 0.7010 0.2010 0.7135  3 Ge 2.75-2.86
Sc8 0.0000 0.0000 0.0000  4 Ge 2.81
Sc9 0.0126 0.5126 0.7135  3 Ge 2.75-2.86
Sc10 0.4874 0.2990 0.2865  3 Ge 2.75-2.86
Ge1 0.6456 0.1456 0.0000  8 Sc 2.75-2.86, 1 Ge 3.02
Ge2 0.3544 0.8544 0.0000  8 Sc 2.75-2.86, 1 Ge 3.02
Ge3 0.8544 0.6456 0.0000  8 Sc 2.75-2.86, 1 Ge 3.02
Ge4 0.1456 0.3544 0.0000  8 Sc 2.75-2.86, 1 Ge 3.02
Sb1 0.2500 0.2500 0.5000  10 Sc 3.08-3.17
Sb2 0.7500 0.7500 0.5000  10 Sc 3.08-3.17



[8]
DFT (PBE-GGA) results for crystalline TbSm8Y6 at its relaxed geometry.

Output
The calculation puts the formation energy from the elements at 0.1167 eV per atom. As for the calculated volume: 502 Å³/f.u. The calculation puts the density of states at the Fermi level at 23.9 states/eV/f.u.

abc: 9.1351 9.1351 8.7205
angles: 58.41 58.41 60.00
With the nearest neighbours (Å) after each atom.
Sites, in units of the cell vectors:
Sm1 0.7491 0.7181 0.4209  3 Y 3.43-3.83, 5 Sm 3.45-3.46, 1 Tb 3.54
Sm2 0.2819 0.8881 0.5791  3 Y 3.43-3.83, 5 Sm 3.45-3.46, 1 Tb 3.54
Sm3 0.5769 0.5769 0.2692  4 Sm 3.21-3.45, 3 Y 3.38
Sm4 0.2509 0.2819 0.5791  3 Y 3.43-3.83, 5 Sm 3.45-3.46, 1 Tb 3.54
Sm5 0.1119 0.7491 0.4209  3 Y 3.43-3.83, 5 Sm 3.45-3.46, 1 Tb 3.54
Sm6 0.4231 0.4231 0.7308  4 Sm 3.21-3.45, 3 Y 3.38
Sm7 0.7181 0.1119 0.4209  3 Y 3.43-3.83, 5 Sm 3.45-3.46, 1 Tb 3.54
Sm8 0.8881 0.2509 0.5791  3 Y 3.43-3.83, 5 Sm 3.45-3.46, 1 Tb 3.54
Y1 0.5388 0.0991 0.1184  3 Sm 3.38-3.45, 1 Tb 3.50, 4 Y 3.55-3.78
Y2 0.2437 0.5388 0.1184  3 Sm 3.38-3.45, 1 Tb 3.50, 4 Y 3.55-3.78
Y3 0.4612 0.9009 0.8816  3 Sm 3.38-3.45, 1 Tb 3.50, 4 Y 3.55-3.78
Y4 0.7563 0.4612 0.8816  3 Sm 3.38-3.45, 1 Tb 3.50, 4 Y 3.55-3.78
Y5 0.0991 0.2437 0.1184  3 Sm 3.38-3.45, 1 Tb 3.50, 4 Y 3.55-3.78
Y6 0.9009 0.7563 0.8816  3 Sm 3.38-3.45, 1 Tb 3.50, 4 Y 3.55-3.78
Tb1 0.0000 0.0000 0.0000  6 Y 3.50, 6 Sm 3.54



[9]
DFT (PBE-GGA) results for crystalline La6TlCo3 at its relaxed geometry.

Output
The calculation puts the formation energy from the elements at -0.1474 eV per atom. As for the calculated volume: 288 Å³/f.u. The calculation puts the density of states at the Fermi level at 8.1 states/eV/f.u.

abc: 3.9909 11.8046 12.6602
angles: 104.87 90.00 90.00
With the nearest neighbours (Å) after each atom.
Sites, in units of the cell vectors:
La1 0.7500 0.4972 0.6182  4 Co 2.80-2.96
La2 0.7500 0.3901 0.0483  3 Co 2.72-2.88
La3 0.7500 0.9203 0.0885  3 Co 2.81
La4 0.7500 0.1768 0.4705  2 Co 2.71
La5 0.2500 0.5028 0.3818  4 Co 2.80-2.96
La6 0.2500 0.0797 0.9115  3 Co 2.81
La7 0.2500 0.6099 0.9517  3 Co 2.72-2.88
La8 0.7500 0.7918 0.7876  2 Co 2.65
La9 0.2500 0.2082 0.2124  2 Co 2.65
La10 0.2500 0.3081 0.7462  3 Co 2.84-2.95
La11 0.7500 0.6919 0.2538  3 Co 2.84-2.95
La12 0.2500 0.8232 0.5295  2 Co 2.71
Co1 0.7500 0.1531 0.0711  6 La 2.65-2.88
Co2 0.2500 0.3372 0.5220  6 La 2.71-2.96
Co3 0.2500 0.8469 0.9289  6 La 2.65-2.88
Co4 0.7500 0.4753 0.8375  5 La 2.72-2.85
Co5 0.2500 0.5247 0.1625  5 La 2.72-2.85
Co6 0.7500 0.6628 0.4780  6 La 2.71-2.96
Tl1 0.2500 0.9525 0.3142  8 La 3.42-3.58
Tl2 0.7500 0.0475 0.6858  8 La 3.42-3.58



[10]
DFT (PBE-GGA) results for crystalline Rb2HgI at its relaxed geometry.

Output
For the excess energy over the best structure of this formula in the dataset, the calculation gives 144 meV per atom. As for the calculated volume: 188 Å³/f.u. The energy relative to the elements, uncorrected is -267.1 kJ/mol of formula units. The calculation puts the density of states at the Fermi level at 3.1 states/eV/f.u.

abc: 6.4339 6.4339 6.4339
angles: 60.00 60.00 60.00
With the nearest neighbours (Å) after each atom.
Sites, in units of the cell vectors:
Rb1 0.2500 0.2500 0.2500  4 Hg 3.94, 4 I 3.94
Rb2 0.7500 0.7500 0.7500  4 I 3.94, 4 Hg 3.94
Hg1 0.5000 0.5000 0.5000  8 Rb 3.94
I1 0.0000 0.0000 0.0000  8 Rb 3.94



[11]
DFT (PBE-GGA) results for crystalline ScCrP2 at its relaxed geometry.

Output
For the excess energy over the best structure of this formula in the dataset, the calculation gives 907 meV per atom. The calculation puts the formation energy from the elements at 0.0438 eV per atom. As for the calculated volume: 60 Å³/f.u. The calculation puts the density of states at the Fermi level at 2.7 states/eV/f.u.

abc: 4.4029 4.4029 4.4029
angles: 60.00 60.00 60.00
With the nearest neighbours (Å) after each atom.
Sites, in units of the cell vectors:
Sc1 0.2500 0.2500 0.2500  4 P 2.70, 4 Cr 2.70
Cr1 0.5000 0.5000 0.5000  4 Sc 2.70, 4 P 2.70
P1 0.0000 0.0000 0.0000  4 P 2.70, 4 Sc 2.70
P2 0.7500 0.7500 0.7500  4 Cr 2.70, 4 P 2.70



[12]
DFT (PBE-GGA) results for crystalline KAu8 at its relaxed geometry.

Output
The calculation puts the formation energy from the elements at 0.0642 eV per atom. As for the calculated volume: 175 Å³/f.u. The calculation puts the density of states at the Fermi level at 1.7 states/eV/f.u.

abc: 6.8135 6.8135 6.8135
angles: 95.36 95.36 144.40
With the nearest neighbours (Å) after each atom.
Sites, in units of the cell vectors:
Au1 0.6756 0.6756 0.3512  8 Au 2.84-3.03, 2 K 3.09
Au2 0.0000 0.6615 0.6615  11 Au 2.95-3.03, 1 K 3.11
Au3 0.6756 0.3244 0.0000  8 Au 2.84-3.03, 2 K 3.09
Au4 0.3244 0.6756 0.0000  8 Au 2.84-3.03, 2 K 3.09
Au5 0.3244 0.3244 0.6488  8 Au 2.84-3.03, 2 K 3.09
Au6 0.3385 0.0000 0.3385  11 Au 2.95-3.03, 1 K 3.11
Au7 0.0000 0.3385 0.3385  11 Au 2.95-3.03, 1 K 3.11
Au8 0.6615 0.0000 0.6615  11 Au 2.95-3.03, 1 K 3.11
K1 0.0000 0.0000 0.0000  12 Au 3.09-3.11



Look up the calculated volume of the first one.
102 Å³/f.u.



Which value of calculated volume does entry 10 give?
188 Å³/f.u.